# 1
Computed, not measured: an optimized crystal structure of LiAlPt2 at the PBE-GGA level of DFT.

```
LiAlPt2
1.0
2.8951 0.0000 0.0000
0.0000 3.3070 0.0000
-0.0228 0.0000 5.7488
Li Al Pt
1 1 2
Cartesian
0.0000 0.0000 0.0000
-0.0114 0.0000 2.8744
1.4422 1.6535 1.4324
1.4301 1.6535 4.3164
```

Properties
Crystal system = monoclinic
Symmetry = P2/m, No. 10
VASP energy = -5.344 eV/atom
DOS(E_F) = 0.156 states/eV per atom
Formation enthalpy at 0 K = -0.9098 eV/atom
Volume = 13.8 Å³ per atom

***

# 2
Computed, not measured: an optimized crystal structure of LiAlPt2 at the PBE-GGA level of DFT.

```
LiAlPt2
1.0
2.8874 0.0000 0.0000
-1.4437 2.5005 0.0000
0.0000 0.0000 24.7998
Li Al Pt
3 3 6
Cartesian
0.0000 0.0000 0.0000
0.0000 1.6670 16.5332
1.4437 0.8335 8.2666
0.0000 0.0000 12.3999
0.0000 1.6670 4.1333
1.4437 0.8335 20.6665
0.0000 0.0000 6.1046
0.0000 0.0000 18.6952
0.0000 1.6670 10.4286
0.0000 1.6670 22.6378
1.4437 0.8335 2.1620
1.4437 0.8335 14.3712
```

Properties
Crystal system = trigonal
Symmetry = R-3m, No. 166
VASP energy = -5.087 eV/atom
DOS(E_F) = 0.608 states/eV per atom
Formation enthalpy at 0 K = -0.6526 eV/atom
Volume = 14.9 Å³ per atom

***

# 3
Computed, not measured: an optimized crystal structure of Li4AlPt at the PBE-GGA level of DFT.

```
Li4AlPt
1.0
0.0000 3.4006 3.4006
3.4006 0.0000 3.4006
3.4006 3.4006 0.0000
Li Al Pt
4 1 1
Cartesian
0.8379 0.8379 0.8379
2.5627 2.5627 0.8379
2.5627 0.8379 2.5627
0.8379 2.5627 2.5627
3.4006 3.4006 3.4006
5.1008 5.1008 5.1008
```

Properties
Crystal system = cubic
Symmetry = F-43m, No. 216
VASP energy = -3.161 eV/atom
DOS(E_F) = 0.238 states/eV per atom
Formation enthalpy at 0 K = -0.2541 eV/atom
Volume = 13.1 Å³ per atom

***

# 4
Computed, not measured: an optimized crystal structure of LiAlPt2 at the PBE-GGA level of DFT.

```
LiAlPt2
1.0
3.2093 0.0000 0.0000
0.0000 3.2093 0.0000
0.0000 0.0000 5.5676
Li Al Pt
1 1 2
Cartesian
0.0000 0.0000 0.0000
1.6046 1.6046 4.0853
0.0000 0.0000 2.8883
1.6046 1.6046 1.0520
```

Properties
Crystal system = tetragonal
Symmetry = P4mm, No. 99
VASP energy = -5.063 eV/atom
DOS(E_F) = 0.355 states/eV per atom
Formation enthalpy at 0 K = -0.6288 eV/atom
Volume = 14.3 Å³ per atom

***

# 5
Computed, not measured: an optimized crystal structure of LiPu2Al4Pt3 at the PBE-GGA level of DFT.

```
LiPu2Al4Pt3
1.0
4.1830 0.0000 0.0000
0.0000 4.1830 0.0000
0.0000 0.0000 10.7674
Li Pu Al Pt
1 2 4 3
Cartesian
0.0000 0.0000 0.0000
0.0000 2.0915 8.0428
2.0915 0.0000 2.7246
0.0000 0.0000 5.3837
0.0000 2.0915 1.4066
2.0915 0.0000 9.3608
2.0915 2.0915 5.3837
0.0000 2.0915 3.9189
2.0915 0.0000 6.8485
2.0915 2.0915 0.0000
```

Properties
Crystal system = tetragonal
Symmetry = P-4m2, No. 115
VASP energy = -7.105 eV/atom
DOS(E_F) = 2.815 states/eV per atom
Formation enthalpy at 0 K = -0.7377 eV/atom
Volume = 18.8 Å³ per atom

***

# 6
Computed, not measured: an optimized crystal structure of LiPuAlPt at the PBE-GGA level of DFT.

```
LiPuAlPt
1.0
6.6310 0.0000 0.0000
0.0000 6.6310 0.0000
0.0000 0.0000 6.6310
Li Pu Al Pt
4 4 4 4
Cartesian
0.0000 0.0000 0.0000
0.0000 3.3155 3.3155
3.3155 0.0000 3.3155
3.3155 3.3155 0.0000
1.6578 1.6578 4.9733
1.6578 4.9733 1.6578
4.9733 1.6578 1.6578
4.9733 4.9733 4.9733
1.6578 1.6578 1.6578
1.6578 4.9733 4.9733
4.9733 1.6578 4.9733
4.9733 4.9733 1.6578
0.0000 0.0000 3.3155
0.0000 3.3155 0.0000
3.3155 0.0000 0.0000
3.3155 3.3155 3.3155
```

Properties
Crystal system = cubic
Symmetry = F-43m, No. 216
VASP energy = -6.999 eV/atom
DOS(E_F) = 1.687 states/eV per atom
Formation enthalpy at 0 K = -0.4920 eV/atom
Volume = 18.2 Å³ per atom

***

# 7
Computed, not measured: an optimized crystal structure of LiAlPtRh2 at the PBE-GGA level of DFT.

```
LiAlPtRh2
1.0
4.8134 0.0000 0.0000
0.0000 4.8134 0.0000
0.0000 0.0000 4.3103
Li Al Pt Rh
1 1 1 2
Cartesian
0.0000 0.0000 0.0000
2.4067 2.4067 0.0000
0.0000 0.0000 2.1551
0.0000 2.4067 2.1551
2.4067 0.0000 2.1551
```

Properties
Crystal system = tetragonal
Symmetry = P4/mmm, No. 123
VASP energy = -4.566 eV/atom
DOS(E_F) = 1.254 states/eV per atom
Formation enthalpy at 0 K = 0.7142 eV/atom
Volume = 20.0 Å³ per atom

***

# 8
Computed, not measured: an optimized crystal structure of Li2AlPtS at the PBE-GGA level of DFT.

```
Li2AlPtS
1.0
4.8165 0.0000 0.0000
0.0000 4.8165 0.0000
0.0000 0.0000 4.5383
Li Al Pt S
2 1 1 1
Cartesian
0.0000 2.4082 0.0000
2.4082 0.0000 0.0000
0.0000 0.0000 2.2692
2.4082 2.4082 0.0000
2.4082 2.4082 2.2692
```

Properties
Crystal system = tetragonal
Symmetry = P4/mmm, No. 123
VASP energy = -3.609 eV/atom
DOS(E_F) = 0.297 states/eV per atom
Volume = 21.1 Å³ per atom